Entry 1:
Material: AlAg2P
Method: DFT, PBE-GGA
State: optimized geometry

Lattice parameters (Å, degrees): 3.3941 3.3941 5.9232 90.00 90.00 90.00
Space group P4mm (No. 99)
Unique sites:
Al 0.0000 0.0000 0.0000 [1 per cell]
Ag 0.0000 0.0000 0.4640 [1 per cell]
Ag 0.5000 0.5000 0.7268 [1 per cell]
P 0.5000 0.5000 0.1684 [1 per cell]

Output
Energy relative to the elements, meV per atom: 88
Crystal system: tetragonal
Theoretical density, g/cm³: 6.66

Entry 2:
Material: SrZn3Rh
Method: DFT, PBE-GGA
State: optimized geometry

Lattice parameters (Å, degrees): 5.8671 6.0770 6.9241 114.23 114.98 90.02
Space group P-1 (No. 2)
Unique sites:
Sr 0.1651 0.0604 0.3293 [2 per cell]
Zn 0.1206 0.4836 0.7834 [2 per cell]
Zn 0.3388 0.5162 0.2187 [2 per cell]
Zn 0.4575 0.1623 0.9157 [2 per cell]
Rh 0.3034 0.6990 0.6100 [2 per cell]

Output
Energy relative to the elements, meV per atom: -316
Crystal system: triclinic
Theoretical density, g/cm³: 6.44

Entry 3:
Material: Pa2TaRhN5
Method: DFT, PBE-GGA
State: optimized geometry

Lattice parameters (Å, degrees): 3.3236 12.8960 10.3843 90.00 90.00 90.00
Space group Cmc2_1 (No. 36)
Unique sites:
Pa 0.0000 0.0995 0.0000 [4 per cell]
Pa 0.0000 0.1443 0.6270 [4 per cell]
Ta 0.0000 0.2013 0.3351 [4 per cell]
Rh 0.0000 0.4714 0.7717 [4 per cell]
N 0.0000 0.0573 0.4066 [4 per cell]
N 0.0000 0.2762 0.9777 [4 per cell]
N 0.0000 0.3159 0.6951 [4 per cell]
N 0.0000 0.3650 0.3161 [4 per cell]
N 0.0000 0.4855 0.0848 [4 per cell]

Output
Crystal system: orthorhombic
Theoretical density, g/cm³: 12.18
Formation energy from raw total energies, eV/atom: -1.083

Entry 4:
Material: BaTeP2
Method: DFT, PBE-GGA
State: optimized geometry

Lattice parameters (Å, degrees): 7.5681 7.5681 7.5681 90.00 90.00 90.00
Space group F-43m (No. 216)
Unique sites:
Ba 0.0000 0.0000 0.0000 [4 per cell]
Te 0.2500 0.2500 0.2500 [4 per cell]
P 0.0000 0.0000 0.5000 [4 per cell]
P 0.2500 0.2500 0.7500 [4 per cell]

Output
Crystal system: cubic
Theoretical density, g/cm³: 5.01
Formation energy from raw total energies, eV/atom: 0.183

Entry 5:
Material: MgNiW
Method: DFT, PBE-GGA
State: optimized geometry

Lattice parameters (Å, degrees): 2.6987 4.5601 7.5228 84.40 80.95 89.41
Space group P-1 (No. 2)
Unique sites:
Mg 0.0641 0.1992 0.3159 [2 per cell]
Ni 0.4179 0.3101 0.6282 [2 per cell]
W 0.2746 0.7396 0.0743 [2 per cell]

Output
Energy relative to the elements, meV per atom: 103
Crystal system: triclinic
Theoretical density, g/cm³: 9.74

Entry 6:
Material: La5Ce3S8
Method: DFT, PBE-GGA
State: optimized geometry

Lattice parameters (Å, degrees): 8.2153 8.2153 20.1608 90.00 90.00 120.00
Space group R-3m (No. 166, hexagonal axes)
Unique sites:
La 0.0000 0.0000 0.0000 [3 per cell]
La 0.0000 0.0000 0.5000 [3 per cell]
La 0.0000 0.5000 0.0000 [9 per cell]
Ce 0.0000 0.5000 0.5000 [9 per cell]
S 0.0000 0.0000 0.2472 [6 per cell]
S 0.0039 0.5019 0.7519 [18 per cell]

Output
Crystal system: trigonal
Theoretical density, g/cm³: 5.80
Formation energy from raw total energies, eV/atom: -2.116